## DyInSb2O8 (GGA-PBE)

Data for DyInSb2O8 after structural relaxation.

a b c (Å): 5.1943 5.1943 11.1666
angles (deg): 90.00 90.00 90.00
With the nearest neighbours (Å) after each atom.
Space group I-4 (No. 82)
Asymmetric unit:
Dy 0.0000 0.0000 0.0000 (multiplicity 2)  8 O 2.29-2.42
In 0.0000 0.5000 0.7500 (multiplicity 2)  8 O 2.25-2.42
Sb 0.0000 0.0000 0.5000 (multiplicity 2)  4 O 1.93
Sb 0.0000 0.5000 0.2500 (multiplicity 2)  4 O 1.94
O 0.1921 0.2506 0.5906 (multiplicity 8)  1 Sb 1.93
O 0.1939 0.7580 0.1621 (multiplicity 8)  1 Sb 1.94

Values from the calculation:
For the total energy, the calculation gives -6.45 eV/atom. The calculation puts the volume at 12.6 Å³/atom. For the formation energy without anion corrections, the calculation gives -1.8473 eV/atom.



## Al2ZnP (GGA-PBE)

Data for Al2ZnP after structural relaxation.

a b c (Å): 2.7487 3.2593 7.0311
angles (deg): 90.00 90.00 90.00
With the nearest neighbours (Å) after each atom.
Space group Pmmm (No. 47)
Asymmetric unit:
Al 0.0000 0.0000 0.2320 (multiplicity 2)  4 P 2.68, 2 Al 2.75, 4 Zn 2.85
Zn 0.5000 0.5000 0.5000 (multiplicity 1)  2 Zn 2.75, 8 Al 2.85
P 0.5000 0.5000 0.0000 (multiplicity 1)  8 Al 2.68, 2 P 2.75

Values from the calculation:
For the total energy, the calculation gives -3.47 eV/atom. For the calculated formation energy, the calculation gives 0.076 eV/atom. The calculation puts the volume at 15.7 Å³/atom.



Copy entry 1 word for word.
## DyInSb2O8 (GGA-PBE)

Data for DyInSb2O8 after structural relaxation.

a b c (Å): 5.1943 5.1943 11.1666
angles (deg): 90.00 90.00 90.00
With the nearest neighbours (Å) after each atom.
Space group I-4 (No. 82)
Asymmetric unit:
Dy 0.0000 0.0000 0.0000 (multiplicity 2)  8 O 2.29-2.42
In 0.0000 0.5000 0.7500 (multiplicity 2)  8 O 2.25-2.42
Sb 0.0000 0.0000 0.5000 (multiplicity 2)  4 O 1.93
Sb 0.0000 0.5000 0.2500 (multiplicity 2)  4 O 1.94
O 0.1921 0.2506 0.5906 (multiplicity 8)  1 Sb 1.93
O 0.1939 0.7580 0.1621 (multiplicity 8)  1 Sb 1.94

Values from the calculation:
For the total energy, the calculation gives -6.45 eV/atom. The calculation puts the volume at 12.6 Å³/atom. For the formation energy without anion corrections, the calculation gives -1.8473 eV/atom.



> The lowest volume belongs to which entry?

DyInSb2O8



> Look up the volume of the first one.

12.6 Å³/atom